No. 1
Material: Ca5Mg
Method: DFT, PBE-GGA
State: relaxed

Output
formation enthalpy at 0 K = -0.006 eV/atom

Unit cell a=7.0697 b=7.0697 c=13.5713 alpha=140.08 beta=140.08 gamma=34.90
Closest atoms and distances in Å follow each position.
Positions (direct):
Mg 0.8052 0.8052 0.1109  8 Ca 3.42-3.57
Ca 0.1603 0.1603 0.8011  2 Mg 3.57, 7 Ca 3.77-3.96
Ca 0.6047 0.6047 0.2618  2 Mg 3.42, 4 Ca 3.70-3.77
Ca 0.0066 0.0066 0.9609  2 Mg 3.42, 4 Ca 3.70-3.77
Ca 0.3058 0.3058 0.6115  8 Ca 3.70-3.77
Ca 0.4507 0.4507 0.4206  2 Mg 3.57, 7 Ca 3.77-3.96

---

No. 2
Material: CaMg4
Method: DFT, PBE-GGA
State: relaxed

Output
formation enthalpy at 0 K = 0.884 eV/atom

Unit cell a=5.9874 b=5.9874 c=5.9874 alpha=90.00 beta=90.00 gamma=90.00
Closest atoms and distances in Å follow each position.
Positions (direct):
Mg 0.0000 0.0000 0.0000  12 Mg 4.23
Mg 0.5000 0.0000 0.5000  2 Ca 2.99
Mg 0.0000 0.5000 0.5000  2 Ca 2.99
Mg 0.5000 0.5000 0.0000  2 Ca 2.99
Ca 0.5000 0.5000 0.5000  6 Mg 2.99

---

No. 3
Material: Ca5Mg
Method: DFT, PBE-GGA
State: relaxed

Output
formation enthalpy at 0 K = 0.326 eV/atom

Unit cell a=6.9684 b=6.9684 c=6.3449 alpha=90.00 beta=90.00 gamma=120.00
Closest atoms and distances in Å follow each position.
Positions (direct):
Ca 0.0000 0.5000 0.5000  8 Ca 3.48-3.76
Ca 0.6667 0.3333 0.0000  9 Ca 3.76-4.02, 3 Mg 4.02
Ca 0.5000 0.5000 0.5000  8 Ca 3.48-3.76
Ca 0.3333 0.6667 0.0000  9 Ca 3.76-4.02, 3 Mg 4.02
Ca 0.5000 0.0000 0.5000  8 Ca 3.48-3.76
Mg 0.0000 0.0000 0.0000  6 Ca 4.02

---

No. 4
Material: CaMg4
Method: DFT, PBE-GGA
State: relaxed

Output
formation enthalpy at 0 K = 0.049 eV/atom

Unit cell a=7.7691 b=7.7691 c=7.7691 alpha=146.81 beta=146.81 gamma=47.64
Closest atoms and distances in Å follow each position.
Positions (direct):
Mg 0.7500 0.2500 0.5000  8 Mg 3.05-3.14
Mg 0.2500 0.7500 0.5000  8 Mg 3.05-3.14
Mg 0.6027 0.6027 0.0000  5 Mg 2.92-3.05
Mg 0.3973 0.3973 0.0000  5 Mg 2.92-3.05
Ca 0.0000 0.0000 0.0000  8 Mg 3.46

---

no.,E_tot (eV/f.u.),distance to the lowest polymorph of the same formula (meV per atom),M_tot (μB/cell)
1,-11.64,13.1,0.00
2,-3.96,909.9,0.00
3,-9.64,346.0,0.00
4,-8.13,75.4,0.00